DFT (GGA-PBEsol) results for an optimized crystal structure of NaMg4P3O12.

Properties
E	-0.5159	Ry per atom
formation energy (no corrections)	-2.587	eV per atom

```
80
Lattice="9.757 0.000 0.000 0.000 6.333 0.000 0.000 0.000 15.431" Properties=species:S:1:pos:R:3 pbc="T T T"
Na 2.328 1.583 3.274
Na 2.550 4.750 10.989
Na 7.206 1.583 4.441
Na 7.429 4.750 12.156
Mg 0.379 4.750 2.026
Mg 0.717 1.583 9.680
Mg 2.383 6.333 6.892
Mg 2.383 3.167 6.892
Mg 2.495 0.000 14.608
Mg 2.495 3.166 14.608
Mg 4.161 4.750 1.965
Mg 4.500 1.583 9.741
Mg 5.257 4.750 5.690
Mg 5.596 1.583 13.466
Mg 7.262 6.333 0.823
Mg 7.262 3.167 0.823
Mg 7.374 0.000 8.538
Mg 7.374 3.166 8.538
Mg 9.039 4.750 5.750
Mg 9.378 1.583 13.405
P 0.266 1.583 0.940
P 0.502 4.750 8.526
P 1.974 4.750 4.229
P 2.904 1.583 11.944
P 4.376 1.583 0.811
P 4.612 4.750 8.655
P 5.144 1.583 6.775
P 5.381 4.750 14.620
P 6.853 4.750 3.486
P 7.782 1.583 11.202
P 9.255 1.583 6.904
P 9.491 4.750 14.491
O 0.409 4.750 4.138
O 0.578 0.344 1.750
O 0.578 2.823 1.750
O 0.966 4.750 7.011
O 1.050 1.583 6.895
O 1.109 3.491 9.142
O 1.109 6.008 9.142
O 1.142 1.583 15.038
O 1.231 4.750 14.984
O 2.364 4.750 2.740
O 2.384 0.309 12.647
O 2.384 2.858 12.647
O 2.494 3.475 4.931
O 2.494 6.024 4.931
O 2.514 1.583 10.455
O 3.647 1.583 7.269
O 3.737 4.750 7.322
O 3.770 0.325 1.427
O 3.770 2.842 1.427
O 3.829 4.750 14.610
O 3.913 1.583 14.727
O 4.300 3.510 9.465
O 4.300 5.989 9.465
O 4.469 1.583 11.853
O 5.288 4.750 3.577
O 5.457 0.344 5.965
O 5.457 2.823 5.965
O 5.844 4.750 0.704
O 5.928 1.583 0.821
O 5.987 3.491 14.004
O 5.987 6.008 14.004
O 6.020 1.583 8.108
O 6.109 4.750 8.162
O 7.243 4.750 4.975
O 7.262 0.309 10.499
O 7.262 2.858 10.499
O 7.373 3.475 2.784
O 7.373 6.024 2.784
O 7.393 1.583 12.691
O 8.526 1.583 0.447
O 8.615 4.750 0.393
O 8.648 0.325 6.289
O 8.648 2.842 6.289
O 8.707 4.750 8.536
O 8.791 1.583 8.419
O 9.179 3.510 13.681
O 9.179 5.989 13.681
O 9.347 1.583 11.292
```

DFT (GGA-PBEsol) results for an optimized crystal structure of ZnSb2Rh.

Properties
E	-0.3537	Ry per atom
formation energy (no corrections)	-0.104	eV per atom

```
4
Lattice="4.137 -1.706 0.000 4.137 1.706 0.000 -1.943 0.000 5.916" Properties=species:S:1:pos:R:3 pbc="T T T"
Zn 0.000 0.000 0.000
Sb 2.951 0.000 3.759
Sb 5.969 0.000 1.246
Rh 0.453 0.000 5.059
```

DFT (GGA-PBEsol) results for an optimized crystal structure of Be2CrHg.

Properties
E	-0.3208	Ry per atom

```
4
Lattice="2.736 0.000 0.000 0.000 3.160 0.000 0.000 0.000 5.599" Properties=species:S:1:pos:R:3 pbc="T T T"
Be 0.000 0.000 1.065
Be 0.000 0.000 4.534
Cr 1.368 1.580 0.000
Hg 1.368 1.580 2.800
```